Density functional theory data (GGA-PBE) for GdErIrOs after structural relaxation.

```
GdErIrOs
1.0
4.8302 0.0000 0.0000
2.4151 4.1831 0.0000
2.4151 1.3944 3.9439
Gd Os Er Ir
1 1 1 1
Direct
0.7500 0.7500 0.7500
0.5000 0.5000 0.5000
0.2500 0.2500 0.2500
0.0000 0.0000 0.0000
```

Results
E (eV/atom): -10.112
ΔE_f (eV per atom): -0.43
Space-group type: F-43m (216)
Theoretical density (g cm⁻³): 14.7